# 1
Compound: Pm5PuZn4
Source: Alexandria
Functional: PBE
Structure: relaxed

Values from the calculation:
energy of formation from the pure elements = -207 meV per atom
magnetic moment = 6.28 μB per formula unit
symmetry = P4/mmm, No. 123

Unit cell a=3.640 b=3.640 c=19.533 alpha=90.00 beta=90.00 gamma=90.00
Element x y z (fractional)
Pm 0.000 0.000 0.000
Pm 0.000 0.000 0.188
Pm 0.000 0.000 0.375
Pm 0.000 0.000 0.625
Pm 0.000 0.000 0.812
Pu 0.500 0.500 0.500
Zn 0.500 0.500 0.094
Zn 0.500 0.500 0.284
Zn 0.500 0.500 0.716
Zn 0.500 0.500 0.906

# 2
Compound: PmPuZn17
Source: Alexandria
Functional: PBE
Structure: relaxed

Values from the calculation:
energy of formation from the pure elements = -198 meV per atom
magnetic moment = 5.48 μB per formula unit
symmetry = R3m, No. 160

Unit cell a=6.826 b=6.826 c=6.826 alpha=82.66 beta=82.66 gamma=82.66
Element x y z (fractional)
Pm 0.000 0.000 0.000
Pu 0.330 0.330 0.330
Zn 0.019 0.019 0.502
Zn 0.019 0.502 0.019
Zn 0.165 0.665 0.665
Zn 0.314 0.314 0.824
Zn 0.314 0.824 0.314
Zn 0.370 0.664 0.960
Zn 0.370 0.960 0.664
Zn 0.502 0.019 0.019
Zn 0.565 0.565 0.565
Zn 0.664 0.370 0.960
Zn 0.664 0.960 0.370
Zn 0.665 0.165 0.665
Zn 0.665 0.665 0.165
Zn 0.763 0.763 0.763
Zn 0.824 0.314 0.314
Zn 0.960 0.370 0.664
Zn 0.960 0.664 0.370

# 3
Compound: Pm4PuZn5
Source: Alexandria
Functional: PBE
Structure: relaxed

Values from the calculation:
energy of formation from the pure elements = -256 meV per atom
magnetic moment = 6.46 μB per formula unit
symmetry = P4/mmm, No. 123

Unit cell a=3.643 b=3.643 c=18.195 alpha=90.00 beta=90.00 gamma=90.00
Element x y z (fractional)
Pm 0.000 0.000 0.101
Pm 0.000 0.000 0.303
Pm 0.000 0.000 0.697
Pm 0.000 0.000 0.899
Pu 0.000 0.000 0.500
Zn 0.500 0.500 0.000
Zn 0.500 0.500 0.201
Zn 0.500 0.500 0.402
Zn 0.500 0.500 0.598
Zn 0.500 0.500 0.799

# 4
Compound: PmPu2Zn9
Source: Alexandria
Functional: PBE
Structure: relaxed

Values from the calculation:
energy of formation from the pure elements = -214 meV per atom
magnetic moment = 11.12 μB per formula unit
symmetry = R-3m, No. 166

Unit cell a=9.338 b=9.338 c=9.338 alpha=33.56 beta=33.56 gamma=33.56
Element x y z (fractional)
Pm 0.000 0.000 0.000
Pu 0.148 0.148 0.148
Pu 0.852 0.852 0.852
Zn 0.078 0.583 0.583
Zn 0.335 0.335 0.335
Zn 0.417 0.417 0.922
Zn 0.417 0.922 0.417
Zn 0.500 0.500 0.500
Zn 0.583 0.078 0.583
Zn 0.583 0.583 0.078
Zn 0.665 0.665 0.665
Zn 0.922 0.417 0.417

# 5
Compound: PmPu2Zn
Source: Alexandria
Functional: PBE
Structure: relaxed

Values from the calculation:
ΔE to the lowest computed polymorph = 0.00 eV/f.u.
energy of formation from the pure elements = 57 meV per atom
magnetic moment = 12.17 μB per formula unit
symmetry = P4/mmm, No. 123

Unit cell a=4.432 b=4.432 c=5.154 alpha=90.00 beta=90.00 gamma=90.00
Element x y z (fractional)
Pm 0.000 0.000 0.000
Pu 0.000 0.500 0.500
Pu 0.500 0.000 0.500
Zn 0.500 0.500 0.000

# 6
Compound: Pm2PuZr
Source: Alexandria
Functional: PBE
Structure: relaxed

Values from the calculation:
ΔE to the lowest computed polymorph = 0.00 eV/f.u.
energy of formation from the pure elements = 220 meV per atom
magnetic moment = 5.82 μB per formula unit
symmetry = P4/mmm, No. 123

Unit cell a=4.886 b=4.886 c=4.842 alpha=90.00 beta=90.00 gamma=90.00
Element x y z (fractional)
Pm 0.000 0.500 0.000
Pm 0.500 0.000 0.000
Pu 0.000 0.000 0.500
Zr 0.500 0.500 0.500

# 7
Compound: PmPuZr2
Source: Alexandria
Functional: PBE
Structure: relaxed

Values from the calculation:
ΔE to the lowest computed polymorph = 0.00 eV/f.u.
energy of formation from the pure elements = 195 meV per atom
magnetic moment = 5.85 μB per formula unit
symmetry = P4/mmm, No. 123

Unit cell a=4.643 b=4.643 c=4.815 alpha=90.00 beta=90.00 gamma=90.00
Element x y z (fractional)
Pm 0.000 0.000 0.000
Pu 0.500 0.500 0.000
Zr 0.000 0.500 0.500
Zr 0.500 0.000 0.500

# 8
Compound: PmPuZr
Source: Alexandria
Functional: PBE
Structure: relaxed

Values from the calculation:
ΔE to the lowest computed polymorph = 0.00 eV/f.u.
energy of formation from the pure elements = 167 meV per atom
magnetic moment = 5.60 μB per formula unit
symmetry = I4mm, No. 107

Unit cell a=7.660 b=7.660 c=7.660 alpha=154.69 beta=154.69 gamma=36.10
Element x y z (fractional)
Pm 0.000 0.000 0.000
Pu 0.681 0.681 0.000
Zr 0.330 0.330 0.000

# 9
Compound: Pm2PuZr
Source: Alexandria
Functional: PBE
Structure: relaxed

Values from the calculation:
ΔE to the lowest computed polymorph = 0.34 eV/f.u.
energy of formation from the pure elements = 305 meV per atom
magnetic moment = 6.32 μB per formula unit
symmetry = R-3m, No. 166

Unit cell a=12.161 b=12.161 c=12.161 alpha=16.05 beta=16.05 gamma=16.05
Element x y z (fractional)
Pm 0.092 0.092 0.092
Pm 0.908 0.908 0.908
Pu 0.000 0.000 0.000
Zr 0.500 0.500 0.500

# 10
Compound: PmPuZr
Source: Alexandria
Functional: PBE
Structure: relaxed

Values from the calculation:
ΔE to the lowest computed polymorph = 0.09 eV/f.u.
energy of formation from the pure elements = 196 meV per atom
magnetic moment = 5.52 μB per formula unit
symmetry = P3m1, No. 156

Unit cell a=3.370 b=3.370 c=8.324 alpha=90.00 beta=90.00 gamma=120.00
Element x y z (fractional)
Pm 0.000 0.000 0.000
Pu 0.667 0.333 0.356
Zr 0.333 0.667 0.662

# 11
Compound: PmPuZr2
Source: Alexandria
Functional: PBE
Structure: relaxed

Values from the calculation:
ΔE to the lowest computed polymorph = 0.02 eV/f.u.
energy of formation from the pure elements = 199 meV per atom
magnetic moment = 5.44 μB per formula unit
symmetry = P4/mmm, No. 123

Unit cell a=3.818 b=3.818 c=7.180 alpha=90.00 beta=90.00 gamma=90.00
Element x y z (fractional)
Pm 0.000 0.000 0.000
Pu 0.000 0.000 0.500
Zr 0.500 0.500 0.289
Zr 0.500 0.500 0.711

# 12
Compound: RbPm3Ru
Source: Alexandria
Functional: PBE
Structure: relaxed

Values from the calculation:
energy of formation from the pure elements = 126 meV per atom
magnetic moment = 0.00 μB per formula unit
symmetry = Pm-3m, No. 221

Unit cell a=5.673 b=5.673 c=5.673 alpha=90.00 beta=90.00 gamma=90.00
Element x y z (fractional)
Rb 0.000 0.000 0.000
Pm 0.000 0.500 0.500
Pm 0.500 0.000 0.500
Pm 0.500 0.500 0.000
Ru 0.500 0.500 0.500

# 13
Compound: Rb3PmS3
Source: Alexandria
Functional: PBE
Structure: relaxed

Values from the calculation:
magnetic moment = 0.00 μB per formula unit
energy relative to the elements, uncorrected = -1.2831 eV/atom
symmetry = R3m, No. 160

Unit cell a=6.417 b=6.417 c=6.417 alpha=89.43 beta=89.43 gamma=89.43
Element x y z (fractional)
Rb 0.006 0.497 0.497
Rb 0.497 0.006 0.497
Rb 0.497 0.497 0.006
Pm 0.030 0.030 0.030
S 0.445 0.994 0.994
S 0.994 0.445 0.994
S 0.994 0.994 0.445

# 14
Compound: RbPmS4
Source: Alexandria
Functional: PBE
Structure: relaxed

Values from the calculation:
magnetic moment = 0.00 μB per formula unit
energy relative to the elements, uncorrected = -1.2121 eV/atom
symmetry = P4/nbm, No. 125

Unit cell a=6.068 b=6.068 c=8.387 alpha=90.00 beta=90.00 gamma=90.00
Element x y z (fractional)
Rb 0.250 0.250 0.000
Rb 0.750 0.750 0.000
Pm 0.250 0.250 0.500
Pm 0.750 0.750 0.500
S 0.127 0.627 0.300
S 0.127 0.873 0.700
S 0.373 0.627 0.700
S 0.373 0.873 0.300
S 0.627 0.127 0.700
S 0.627 0.373 0.300
S 0.873 0.127 0.300
S 0.873 0.373 0.700

# 15
Compound: Rb2PmS3
Source: Alexandria
Functional: PBE
Structure: relaxed

Values from the calculation:
magnetic moment = 0.94 μB per formula unit
energy relative to the elements, uncorrected = -1.2898 eV/atom
symmetry = Immm, No. 71

Unit cell a=8.261 b=8.261 c=8.261 alpha=150.97 beta=136.35 gamma=53.28
Element x y z (fractional)
Rb 0.183 0.183 0.000
Rb 0.817 0.817 0.000
Pm 0.500 0.500 0.000
S 0.000 0.500 0.500
S 0.372 0.872 0.500
S 0.628 0.128 0.500

# 16
Compound: RbPm2S4
Source: Alexandria
Functional: PBE
Structure: relaxed

Values from the calculation:
magnetic moment = 0.84 μB per formula unit
energy relative to the elements, uncorrected = -1.6117 eV/atom
symmetry = Cmcm, No. 63

Unit cell a=7.279 b=7.279 c=14.196 alpha=90.00 beta=90.00 gamma=147.25
Element x y z (fractional)
Rb 0.113 0.887 0.750
Rb 0.887 0.113 0.250
Pm 0.366 0.634 0.560
Pm 0.366 0.634 0.940
Pm 0.634 0.366 0.060
Pm 0.634 0.366 0.440
S 0.000 0.000 0.000
S 0.000 0.000 0.500
S 0.259 0.741 0.107
S 0.259 0.741 0.393
S 0.418 0.582 0.750
S 0.582 0.418 0.250
S 0.741 0.259 0.607
S 0.741 0.259 0.893

# 17
Compound: RbPm3S4
Source: Alexandria
Functional: PBE
Structure: relaxed

Values from the calculation:
magnetic moment = 0.00 μB per formula unit
energy relative to the elements, uncorrected = -1.9224 eV/atom
symmetry = P6_3/mmc, No. 194

Unit cell a=4.108 b=4.108 c=28.531 alpha=90.00 beta=90.00 gamma=120.00
Element x y z (fractional)
Rb 0.333 0.667 0.250
Rb 0.667 0.333 0.750
Pm 0.000 0.000 0.000
Pm 0.000 0.000 0.500
Pm 0.333 0.667 0.614
Pm 0.333 0.667 0.886
Pm 0.667 0.333 0.114
Pm 0.667 0.333 0.386
S 0.000 0.000 0.168
S 0.000 0.000 0.332
S 0.000 0.000 0.668
S 0.000 0.000 0.832
S 0.333 0.667 0.057
S 0.333 0.667 0.443
S 0.667 0.333 0.557
S 0.667 0.333 0.943

# 18
Compound: Rb2Pm2SbS6
Source: Alexandria
Functional: PBE
Structure: relaxed

Values from the calculation:
magnetic moment = 0.00 μB per formula unit
energy relative to the elements, uncorrected = -1.3487 eV/atom
symmetry = C2/m, No. 12

Unit cell a=7.044 b=7.044 c=8.247 alpha=98.33 beta=98.33 gamma=119.58
Element x y z (fractional)
Rb 0.169 0.831 0.000
Rb 0.831 0.169 0.000
Pm 0.333 0.667 0.500
Pm 0.667 0.333 0.500
Sb 0.000 0.000 0.500
S 0.063 0.381 0.688
S 0.249 0.249 0.313
S 0.381 0.063 0.688
S 0.619 0.937 0.312
S 0.751 0.751 0.687
S 0.937 0.619 0.312

# 19
Compound: Rb3Pm3ScS8
Source: Alexandria
Functional: PBE
Structure: relaxed

Values from the calculation:
magnetic moment = 0.00 μB per formula unit
energy relative to the elements, uncorrected = -1.7110 eV/atom
symmetry = R-3m, No. 166

Unit cell a=9.144 b=9.144 c=9.144 alpha=53.08 beta=53.08 gamma=53.08
Element x y z (fractional)
Rb 0.000 0.500 0.500
Rb 0.500 0.000 0.500
Rb 0.500 0.500 0.000
Pm 0.000 0.000 0.500
Pm 0.000 0.500 0.000
Pm 0.500 0.000 0.000
Sc 0.500 0.500 0.500
S 0.232 0.232 0.232
S 0.248 0.718 0.718
S 0.282 0.282 0.752
S 0.282 0.752 0.282
S 0.718 0.248 0.718
S 0.718 0.718 0.248
S 0.752 0.282 0.282
S 0.768 0.768 0.768

# 20
Compound: RbPmSeS
Source: Alexandria
Functional: PBE
Structure: relaxed

Values from the calculation:
magnetic moment = 0.00 μB per formula unit
energy relative to the elements, uncorrected = -1.7560 eV/atom
symmetry = R3m, No. 160

Unit cell a=8.385 b=8.385 c=8.385 alpha=29.34 beta=29.34 gamma=29.34
Element x y z (fractional)
Rb 0.000 0.000 0.000
Pm 0.165 0.165 0.165
Se 0.568 0.568 0.568
S 0.770 0.770 0.770

Computed DFT total energy (eV/atom) in order:
-4.525, -2.342, -4.226, -3.954, -8.615, -7.875, -8.850, -9.043, -7.790, -9.014, -8.846, -4.773, -4.145, -4.917, -4.468, -5.466, -5.889, -5.014, -5.478, -5.088
Computed theoretical density (g/cm³) in order:
7.898, 8.019, 7.914, 9.154, 11.458, 8.983, 9.143, 9.723, 8.664, 9.740, 9.068, 5.653, 3.128, 3.858, 3.644, 4.112, 5.168, 3.777, 3.639, 4.527